Compound: MgZn2Si
Source: the Alexandria database
Functional: PBE
Structure: relaxed

Geometry as POSCAR:
```
MgZn2Si
1.0
-1.9969 1.9969 4.1115
1.9969 -1.9969 4.1115
1.9969 1.9969 -4.1115
Mg Zn Si
1 2 1
direct
0.0000 0.0000 0.0000
0.2500 0.7500 0.5000
0.5000 0.5000 0.0000
0.7500 0.2500 0.5000
```

Results
- Relative energy among the computed polymorphs: 21.2 meV per atom
- Space-group type: I-4m2